Version a
Below is a relaxed AcPmIrPd crystal, with properties calculated at the GGA-PBE level.

```
4
Lattice="4.0109 0.0000 0.0000 0.0000 4.5037 0.0000 -2.0055 0.0000 5.6039" Properties=species:S:1:pos:R:3 pbc="T T T"
Ac 0.0000 0.0000 1.5826
Pm 2.0055 2.2519 4.1047
Ir 0.0000 0.0000 4.6003
Pd 2.0055 2.2519 0.9203
```

## Properties
DOS at the Fermi energy: 2.2 states/eV/f.u.

Version b
Below is a relaxed AcPmIrPd crystal, with properties calculated at the GGA-PBE level.

```
4
Lattice="-1.2116 0.7254 4.9683 -4.4160 -1.9030 1.8858 0.0996 -3.9803 3.2903" Properties=species:S:1:pos:R:3 pbc="T T T"
Ac -1.3820 -1.2895 2.5361
Ir 0.0000 0.0000 0.0000
Pd -2.7640 -2.5789 5.0722
Pm -4.1460 -3.8684 7.6083
```

## Properties
DOS at the Fermi energy: 2.7 states/eV/f.u.

Most stable to least stable, the ends of the list are version a and version b.

Version a
Below is a relaxed AcPrIrPd crystal, with properties calculated at the GGA-PBE level.

```
4
Lattice="4.0343 0.0000 0.0000 0.0000 4.5569 0.0000 -2.0172 0.0000 5.6060" Properties=species:S:1:pos:R:3 pbc="T T T"
Ac 0.0000 0.0000 1.5667
Pr 2.0172 2.2785 4.1013
Ir 0.0000 0.0000 4.6116
Pd 2.0172 2.2785 0.9324
```

## Properties
DOS at the Fermi energy: 2.2 states/eV/f.u.

Version b
Below is a relaxed AcPrIrPd crystal, with properties calculated at the GGA-PBE level.

```
4
Lattice="-2.6697 4.1054 -1.7463 -2.8884 -0.4164 -4.3029 -5.1879 0.0612 0.3355" Properties=species:S:1:pos:R:3 pbc="T T T"
Pr -2.6865 0.9376 -1.4284
Ac -8.0595 2.8127 -4.2853
Ir 0.0000 0.0000 0.0000
Pd -5.3730 1.8751 -2.8569
```

## Properties
DOS at the Fermi energy: 2.5 states/eV/f.u.

Most stable to least stable, the ends of the list are version a and version b.

Version a
Below is a relaxed AcPm2Ir crystal, with properties calculated at the GGA-PBE level.

```
4
Lattice="5.3383 0.0000 0.0000 2.6692 4.6231 0.0000 2.6692 1.5410 4.3587" Properties=species:S:1:pos:R:3 pbc="T T T"
Ac 0.0000 0.0000 0.0000
Ir 5.3383 3.0821 2.1794
Pm 2.6692 1.5410 1.0897
Pm 8.0075 4.6231 3.2690
```

## Properties
DOS at the Fermi energy: 5.5 states/eV/f.u.

Version b
Below is a relaxed AcPm2Ir crystal, with properties calculated at the GGA-PBE level.

```
4
Lattice="3.6496 0.0000 0.0000 0.0000 3.6496 0.0000 0.0000 0.0000 9.3411" Properties=species:S:1:pos:R:3 pbc="T T T"
Ac 1.8248 1.8248 4.6706
Ir 1.8248 1.8248 0.0000
Pm 0.0000 0.0000 7.7180
Pm 0.0000 0.0000 1.6232
```

## Properties
DOS at the Fermi energy: 4.6 states/eV/f.u.

Most stable to least stable, the ends of the list are version b and version a.

Version a
Below is a relaxed AcPm2Ir crystal, with properties calculated at the GGA-PBE level.

```
4
Lattice="-2.9513 -1.9427 -1.9211 0.8302 -2.1933 -3.2672 0.9547 -10.1292 4.5670" Properties=species:S:1:pos:R:3 pbc="T T T"
Ac 0.0000 0.0000 0.0000
Ir -0.5832 -7.1326 -0.3106
Pm 0.3631 -7.0141 2.3256
Pm -1.5295 -7.2511 -2.9468
```

## Properties
DOS at the Fermi energy: 4.1 states/eV/f.u.

Version b
Below is a relaxed AcPm2Ir crystal, with properties calculated at the GGA-PBE level.

```
16
Lattice="6.6587 0.0000 0.0000 0.0000 7.5113 0.0000 0.0000 0.0000 10.0464" Properties=species:S:1:pos:R:3 pbc="T T T"
Ac 4.2831 4.0480 2.5116
Ac 5.7050 0.2924 2.5116
Ac 2.3757 3.4633 7.5348
Ac 0.9537 7.2189 7.5348
Pm 1.1289 5.0562 0.6946
Pm 2.2005 1.3006 4.3286
Pm 5.5298 2.4551 5.7178
Pm 4.4583 6.2107 9.3518
Pm 5.5298 2.4551 9.3518
Pm 4.4583 6.2107 5.7178
Pm 1.1289 5.0562 4.3286
Pm 2.2005 1.3006 0.6946
Ir 0.5292 2.8660 2.5116
Ir 2.8001 6.6216 2.5116
Ir 6.1295 4.6453 7.5348
Ir 3.8586 0.8897 7.5348
```

## Properties
DOS at the Fermi energy: 4.6 states/eV/f.u.

Most stable to least stable, the ends of the list are version b and version a.

Version a
Below is a relaxed AcPm2Ir crystal, with properties calculated at the GGA-PBE level.

```
4
Lattice="4.1532 0.0000 0.0000 2.0766 3.5968 0.0000 2.0766 1.1989 9.4101" Properties=species:S:1:pos:R:3 pbc="T T T"
Ac 4.1532 2.3978 4.6697
Pm 2.0766 1.1989 7.9251
Pm 2.0766 1.1989 1.5075
Ir 4.1532 2.3978 0.0128
```

## Properties
DOS at the Fermi energy: 3.7 states/eV/f.u.

Version b
Below is a relaxed AcPm2Ir crystal, with properties calculated at the GGA-PBE level.

```
8
Lattice="4.0229 -0.1671 0.0000 -1.7549 6.3476 0.0000 0.0000 0.0000 9.8736" Properties=species:S:1:pos:R:3 pbc="T T T"
Ac 0.2136 5.2967 2.4684
Ac 2.0544 0.8838 7.4052
Pm 0.0763 1.8284 4.2521
Pm 2.1917 4.3521 5.6216
Pm 2.1917 4.3521 9.1889
Pm 0.0763 1.8284 0.6848
Ir 2.1330 2.9004 2.4684
Ir 0.1350 3.2801 7.4052
```

## Properties
DOS at the Fermi energy: 5.2 states/eV/f.u.

Most stable to least stable, the ends of the list are version b and version a.

Version a
Below is a relaxed Ac5PmIr4 crystal, with properties calculated at the GGA-PBE level.

```
20
Lattice="-5.3221 5.0315 -0.0838 -2.8347 -3.1524 -9.2424 -5.7233 -5.9906 3.7987" Properties=species:S:1:pos:R:3 pbc="T T T"
Ac -5.9651 1.6188 -0.9000
Ac -8.7916 -1.3397 0.9760
Ac -3.9324 -1.9831 1.8825
Ac -7.6964 -0.3065 -6.5447
Ac -10.5228 -3.2650 -4.6687
Ac -4.7394 -2.3860 -5.5035
Ac -7.6363 -5.4181 -3.5808
Ac -5.6687 2.4430 -4.6882
Ac -6.5329 -4.1910 0.0170
Ac -3.6360 -1.1588 -1.9057
Pm -1.0340 0.9775 -0.0163
Pm -8.5671 -0.5175 -2.7894
Ir -6.0148 4.2491 -2.3614
Ir -3.6937 0.7235 0.8861
Ir -6.6375 -2.3578 2.8400
Ir -7.4523 2.6504 -7.0485
Ir -4.9835 -5.3428 -4.9997
Ir -5.9074 -0.2635 -3.6918
Ir -8.6869 -3.1728 -1.8470
Ir -3.5863 -3.7891 -0.4443
```

## Properties
DOS at the Fermi energy: 4.4 states/eV/f.u.

Version b
Below is a relaxed Ac5PmIr4 crystal, with properties calculated at the GGA-PBE level.

```
10
Lattice="-2.6858 0.0663 -3.4258 -6.5514 -1.3572 5.1099 2.1584 9.2171 1.2526" Properties=species:S:1:pos:R:3 pbc="T T T"
Ac -5.1926 5.3983 1.4090
Ac -1.7398 6.0222 -1.2858
Ac -5.3390 1.9040 4.2225
Ac -4.6186 -0.6455 0.8420
Ac -1.8861 2.5279 1.5276
Pm -1.3429 0.0332 -1.7129
Ir -5.3250 4.8884 4.2693
Ir -4.9056 -0.9915 3.8267
Ir -1.7538 3.0378 -1.3326
Ir -2.1731 8.9177 -0.8901
```

## Properties
DOS at the Fermi energy: 5.9 states/eV/f.u.

Most stable to least stable, the ends of the list are version b and version a.